Compound: K8VO6
Source: the Alexandria database
Functional: GGA+U
Structure: optimized geometry

```
data_K8VO6
_chemical_formula_sum 'K16 V2 O12'
_cell_length_a 7.4383
_cell_length_b 7.6058
_cell_length_c 13.7664
_cell_angle_alpha 90.00
_cell_angle_beta 90.00
_cell_angle_gamma 90.00
_space_group_name_H-M_alt 'P m n 21'
_space_group_IT_number 31
loop_
_space_group_symop_operation_xyz
'x,y,z'
'-x+1/2,-y,z+1/2'
'-x,y,z'
'x+1/2,-y,z+1/2'
loop_
_atom_site_label
_atom_site_type_symbol
_atom_site_fract_x
_atom_site_fract_y
_atom_site_fract_z
K1 K 0.0000 0.0895 0.0000
K2 K 0.0000 0.7470 0.4472
K3 K 0.2082 0.5598 0.0998
K4 K 0.2383 0.5618 0.8474
K5 K 0.2474 0.9281 0.2556
V1 V 0.0000 0.1655 0.4948
O1 O 0.0000 0.1383 0.6209
O2 O 0.0000 0.3939 0.4749
O3 O 0.0000 0.4174 0.9631
O4 O 0.0000 0.6821 0.2530
O5 O 0.1919 0.0731 0.4411
```

- Total moment: 0.7 μB per formula unit
- DOS at the Fermi energy: 4.87 states/eV/cell
- E_tot: -133.813 eV per cell